{
  "formula": "Ca2TaPt",
  "functional": "PBEsol",
  "state": "relaxed",
  "cell": [[3.370, 0.000, 0.000], [0.000, 3.370, 0.000], [0.000, 0.000, 8.952]],
  "species": ["Ca", "Ca", "Ta", "Pt"],
  "fractional_positions": [[0.000, 0.000, 0.000], [0.500, 0.500, 0.372], [0.500, 0.500, 0.738], [0.000, 0.000, 0.613]],
  "rho_g_cm3": 7.45,
  "energy_ev_per_fu": -24.22,
  "magmom_total_mub_per_atom": 0.001,
  "delta_e_f_ev_per_atom": -0.11,
  "volume_a3_per_cell": 102,
  "polymorph_energy_ev_per_atom": 0.000
}